A relaxed structure of CdSnHgCl4, computed with PBE-GGA.

```
CdSnHgCl4
1.0
6.713 -4.631 0.000
6.713 4.631 0.000
-2.713 0.000 8.233
Cd Sn Hg Cl
2 2 2 8
Cartesian
1.139 0.000 2.610
9.575 0.000 5.623
0.648 0.000 7.562
10.065 0.000 0.671
5.717 0.000 1.590
4.997 0.000 6.643
1.998 2.870 7.294
-1.352 0.000 5.824
2.204 0.000 4.782
8.716 2.870 0.939
1.998 -2.870 7.294
8.510 0.000 3.451
12.066 0.000 2.409
8.716 -2.870 0.939
```

Computed properties:
**Magnetic moment**: 0.00 Bohr magnetons per cell
**Symmetry**: C2/m
**Formation energy from raw total energies**: -5.80 eV/f.u.